# 1
An optimized crystal structure of CdCuNF2. Source: Alexandria via LeMat-Bulk, functional GGA-PBE.

Output
DOS(E_F) = 1.75 states/eV/cell
ρ = 4.54 Mg/m³
Formation energy without anion corrections = 0.098 eV/atom

a = 4.382 Å, b = 4.382 Å, c = 4.344 Å
α = 90.00°, β = 90.00°, γ = 90.00°
Each line ends with the local moment (μB).
Positions (direct):
F1 0.000 0.500 0.000  0.06
F2 0.500 0.000 0.000  0.06
N1 0.000 0.000 0.500  1.10
Cd1 0.000 0.000 0.000  0.08
Cu1 0.500 0.500 0.500  0.10

# 2
An optimized crystal structure of SnAsO2F. Source: Alexandria via LeMat-Bulk, functional GGA-PBE.

Output
DOS(E_F) = 2.13 states/eV/cell
ρ = 5.94 Mg/m³
Formation energy without anion corrections = -0.717 eV/atom

a = 4.058 Å, b = 4.058 Å, c = 4.156 Å
α = 90.00°, β = 90.00°, γ = 90.00°
Each line ends with the local moment (μB).
Positions (direct):
As1 0.500 0.500 0.500  0.07
O1 0.000 0.500 0.000  0.00
O2 0.500 0.000 0.000  0.00
F1 0.000 0.000 0.500  0.00
Sn1 0.000 0.000 0.000  -0.01

# 3
An optimized crystal structure of Mg4ScNb3N8. Source: Alexandria via LeMat-Bulk, functional GGA-PBE.

Output
DOS(E_F) = 3.57 states/eV/cell
ρ = 5.13 Mg/m³
Formation energy without anion corrections = -1.102 eV/atom

a = 6.223 Å, b = 6.275 Å, c = 6.223 Å
α = 119.72°, β = 120.00°, γ = 90.00°
Positions (direct):
N1 0.740 0.740 0.990
N2 0.748 0.745 0.497
N3 0.750 0.260 0.010
N4 0.252 0.255 0.503
N5 0.750 0.260 0.500
N6 0.260 0.260 0.010
N7 0.250 0.740 0.990
N8 0.250 0.740 0.500
Sc1 0.000 0.500 0.000
Nb1 0.000 0.500 0.500
Nb2 0.500 0.500 0.000
Nb3 0.500 0.500 0.500
Mg1 0.500 0.000 0.500
Mg2 0.000 0.000 0.000
Mg3 0.000 0.000 0.500
Mg4 0.500 0.000 0.000

# 4
An optimized crystal structure of BaGe2Pb2. Source: Alexandria via LeMat-Bulk, functional GGA-PBE.

Output
DOS(E_F) = 1.65 states/eV/cell
ρ = 7.59 Mg/m³
Energy of formation from the pure elements = -18.5 kJ/mol of atoms

a = 8.473 Å, b = 8.473 Å, c = 4.246 Å
α = 90.00°, β = 90.00°, γ = 90.00°
Positions (direct):
Pb1 0.152 0.652 0.500
Pb2 0.348 0.152 0.500
Pb3 0.652 0.848 0.500
Pb4 0.848 0.348 0.500
Ba1 0.000 0.000 0.000
Ba2 0.500 0.500 0.000
Ge1 0.891 0.609 0.000
Ge2 0.391 0.891 0.000
Ge3 0.109 0.391 0.000
Ge4 0.609 0.109 0.000

# 5
An optimized crystal structure of Pu2InCuS5. Source: Alexandria via LeMat-Bulk, functional GGA-PBE.

Output
DOS(E_F) = 32.06 states/eV/cell
ρ = 7.65 Mg/m³
Formation energy without anion corrections = -1.071 eV/atom

a = 3.831 Å, b = 8.262 Å, c = 11.655 Å
α = 90.00°, β = 90.00°, γ = 103.41°
Each line ends with the local moment (μB).
Positions (direct):
In1 0.181 0.363 0.033  0.06
In2 0.819 0.637 0.533  0.06
S1 0.310 0.621 0.360  -0.06
S2 0.490 0.981 0.745  -0.15
S3 0.985 0.969 0.515  -0.08
S4 0.343 0.685 0.020  -0.11
S5 0.704 0.408 0.190  -0.06
S6 0.510 0.019 0.245  -0.15
S7 0.015 0.031 0.015  -0.08
S8 0.657 0.315 0.520  -0.11
S9 0.296 0.592 0.690  -0.06
S10 0.690 0.379 0.860  -0.06
Pu1 0.115 0.230 0.345  5.12
Pu2 0.113 0.226 0.697  5.08
Pu3 0.885 0.770 0.845  5.12
Pu4 0.887 0.774 0.197  5.08
Cu1 0.453 0.906 0.419  -0.11
Cu2 0.547 0.094 0.919  -0.11

# 6
An optimized crystal structure of LaCo2Te. Source: Alexandria via LeMat-Bulk, functional GGA-PBE.

Output
DOS(E_F) = 4.74 states/eV/cell
ρ = 8.17 Mg/m³
Formation energy without anion corrections = 0.085 eV/atom

a = 5.808 Å, b = 5.808 Å, c = 5.808 Å
α = 144.92°, β = 135.60°, γ = 57.81°
Each line ends with the local moment (μB).
Positions (direct):
Co1 0.010 0.010 0.000  -0.04
Co2 0.789 0.289 0.500  1.06
Te1 0.215 0.715 0.500  0.01
La1 0.486 0.486 0.000  -0.04

# 7
An optimized crystal structure of Hf2PdO. Source: Alexandria via LeMat-Bulk, functional GGA-PBE.

Output
DOS(E_F) = 4.58 states/eV/cell
ρ = 10.39 Mg/m³
Formation energy without anion corrections = -1.261 eV/atom

a = 5.423 Å, b = 5.423 Å, c = 6.471 Å
α = 65.23°, β = 65.23°, γ = 90.00°
Positions (direct):
Hf1 0.875 0.795 0.750
Hf2 0.545 0.125 0.250
Hf3 0.205 0.625 0.250
Hf4 0.375 0.455 0.750
O1 0.500 0.500 0.000
O2 0.250 0.750 0.500
Pd1 0.000 0.000 0.000
Pd2 0.750 0.250 0.500

# 8
An optimized crystal structure of Mg2ZrRu. Source: Alexandria via LeMat-Bulk, functional GGA-PBE.

Output
DOS(E_F) = 3.26 states/eV/cell
ρ = 5.48 Mg/m³
Energy of formation from the pure elements = -10.3 kJ/mol of atoms

a = 4.691 Å, b = 4.691 Å, c = 4.691 Å
α = 120.02°, β = 120.02°, γ = 89.96°
Positions (direct):
Zr1 0.750 0.250 0.500
Mg1 0.250 0.750 0.500
Mg2 0.000 0.000 0.000
Ru1 0.500 0.500 0.000

# 9
An optimized crystal structure of Li3Er2TiS6. Source: Alexandria via LeMat-Bulk, functional GGA-PBE.

Output
DOS(E_F) = 5.55 states/eV/cell
ρ = 4.38 Mg/m³
Formation energy without anion corrections = -1.668 eV/atom

a = 6.519 Å, b = 6.519 Å, c = 6.510 Å
α = 99.60°, β = 99.60°, γ = 119.95°
Each line ends with the local moment (μB).
Positions (direct):
S1 0.603 0.917 0.754  -0.01
S2 0.233 0.233 0.759  -0.01
S3 0.767 0.767 0.241  -0.01
S4 0.917 0.603 0.754  -0.01
S5 0.083 0.397 0.246  -0.01
S6 0.397 0.083 0.246  -0.01
Li1 0.838 0.162 0.500  0.00
Li2 0.162 0.838 0.500  0.00
Li3 0.500 0.500 0.500  0.00
Er1 0.668 0.332 0.000  0.04
Er2 0.332 0.668 0.000  0.04
Ti1 0.000 0.000 0.000  0.79

# 10
An optimized crystal structure of CaZr2Cu. Source: Alexandria via LeMat-Bulk, functional GGA-PBE.

Output
DOS(E_F) = 3.05 states/eV/cell
ρ = 5.23 Mg/m³
Energy of formation from the pure elements = 5.5 kJ/mol of atoms

a = 6.330 Å, b = 6.330 Å, c = 5.040 Å
α = 66.54°, β = 66.54°, γ = 29.58°
Positions (direct):
Zr1 0.540 0.540 0.460
Zr2 0.960 0.960 0.040
Ca1 0.750 0.750 0.750
Cu1 0.250 0.250 0.250